A plane-wave DFT calculation with PBE was carried out for crystalline Li2LaTm2Sn2 at its relaxed geometry.

Structure (extended XYZ):
```
7
Lattice="-3.0898 0.6049 -3.6647 -2.0090 -3.8456 -2.1257 -8.5129 -0.7282 3.8724" Properties=species:S:1:pos:R:3 pbc="T T T"
Tm -5.8236 -0.8671 1.5820
Li -8.4905 -1.8974 0.4757
La 0.0000 0.0000 0.0000
Sn -3.2613 -0.9995 -0.6001
Li -5.1212 -2.0715 -2.3938
Tm -7.7881 -3.1017 -3.5001
Sn -10.3504 -2.9693 -1.3179
```

Calculated values
DFT formation energy (meV per atom): -472
Volume (A^3/atom): 25.9
Symmetry: R-3m, No. 166